# SiAgAs2Se

Crystalline SiAgAs2Se at its relaxed geometry (PBE-GGA, Alexandria via LeMat-Bulk).

## Properties
Space group: No. 123
Formation energy without anion corrections (kJ/mol of formula units): 300

Cell lengths 4.8098, 4.8098, 4.8523 Å; angles 90.00, 90.00, 90.00 degrees
Element x y z (fractional)
1 Si 0.0000 0.0000 0.0000
2 Ag 0.5000 0.5000 0.5000
3 As 0.0000 0.5000 0.0000
4 As 0.5000 0.0000 0.0000
5 Se 0.0000 0.0000 0.5000


# KNi2Pt

Crystalline KNi2Pt at its relaxed geometry (PBE-GGA, Alexandria via LeMat-Bulk).

## Properties
DFT formation energy (meV per atom): 366
Space group: No. 8

Cell lengths 5.7403, 5.7403, 5.9636 Å; angles 112.86, 112.86, 27.38 degrees
Element x y z (fractional)
1 K 0.0000 0.0000 0.0000
2 Ni 0.1798 0.1798 0.6103
3 Ni 0.4941 0.4941 0.4952
4 Pt 0.7941 0.7941 0.4099


# ErTm2ScIn4

Crystalline ErTm2ScIn4 at its relaxed geometry (PBE-GGA, Alexandria via LeMat-Bulk).

## Properties
DFT formation energy (meV per atom): -415
Space group: No. 166

Cell lengths 9.0444, 9.0444, 9.0444 Å; angles 33.46, 33.46, 33.46 degrees
Element x y z (fractional)
1 Er 0.0000 0.0000 0.0000
2 Tm 0.2494 0.2494 0.2494
3 Tm 0.7506 0.7506 0.7506
4 Sc 0.5000 0.5000 0.5000
5 In 0.1265 0.1265 0.1265
6 In 0.3767 0.3767 0.3767
7 In 0.6233 0.6233 0.6233
8 In 0.8735 0.8735 0.8735


# NiSe

Crystalline NiSe at its relaxed geometry (PBE-GGA, Alexandria via LeMat-Bulk).

## Properties
Space group: No. 87
Formation energy without anion corrections (kJ/mol of formula units): -36

Cell lengths 7.0295, 7.0295, 7.0295 Å; angles 94.01, 94.01, 149.32 degrees
Element x y z (fractional)
1 Ni 0.1656 0.2916 0.4572
2 Ni 0.2916 0.8344 0.1260
3 Ni 0.7084 0.1656 0.8740
4 Ni 0.8344 0.7084 0.5428
5 Se 0.0758 0.7243 0.8001
6 Se 0.2757 0.0758 0.3516
7 Se 0.7243 0.9242 0.6484
8 Se 0.9242 0.2757 0.1999


# HoLuTlHg

Crystalline HoLuTlHg at its relaxed geometry (PBE-GGA, Alexandria via LeMat-Bulk).

## Properties
DFT formation energy (meV per atom): -377
Space group: No. 216

Cell lengths 5.2645, 5.2645, 5.2645 Å; angles 60.00, 60.00, 60.00 degrees
Element x y z (fractional)
1 Ho 0.0000 0.0000 0.0000
2 Lu 0.5000 0.5000 0.5000
3 Tl 0.2500 0.2500 0.2500
4 Hg 0.7500 0.7500 0.7500


# Sr2LiRhN

Crystalline Sr2LiRhN at its relaxed geometry (PBE-GGA, Alexandria via LeMat-Bulk).

## Properties
Space group: No. 123
Formation energy without anion corrections (kJ/mol of formula units): -168

Cell lengths 5.4469, 5.4469, 3.8843 Å; angles 90.00, 90.00, 90.00 degrees
Element x y z (fractional)
1 Sr 0.0000 0.5000 0.0000
2 Sr 0.5000 0.0000 0.0000
3 Li 0.0000 0.0000 0.5000
4 Rh 0.5000 0.5000 0.5000
5 N 0.5000 0.5000 0.0000


# P2AuCl

Crystalline P2AuCl at its relaxed geometry (PBE-GGA, Alexandria via LeMat-Bulk).

## Properties
Space group: No. 6
Formation energy without anion corrections (kJ/mol of formula units): 34

Cell lengths 4.5535, 4.1358, 6.0037 Å; angles 90.00, 102.94, 90.00 degrees
Element x y z (fractional)
1 P 0.0000 0.0000 0.0000
2 P 0.2256 0.5000 0.0490
3 Au 0.4753 0.0000 0.8747
4 Cl 0.4791 0.5000 0.3848


# CuSbCl4

Crystalline CuSbCl4 at its relaxed geometry (PBE-GGA, Alexandria via LeMat-Bulk).

## Properties
Space group: No. 16
Formation energy without anion corrections (kJ/mol of formula units): -331

Cell lengths 5.8379, 5.8475, 11.5605 Å; angles 90.00, 90.00, 90.00 degrees
Element x y z (fractional)
1 Cu 0.0000 0.0000 0.0000
2 Cu 0.0000 0.5000 0.5000
3 Sb 0.0000 0.0000 0.5000
4 Sb 0.5000 0.0000 0.0000
5 Cl 0.2174 0.2395 0.8773
6 Cl 0.2174 0.7605 0.1227
7 Cl 0.2420 0.2830 0.3786
8 Cl 0.2420 0.7170 0.6214
9 Cl 0.7580 0.2830 0.6214
10 Cl 0.7580 0.7170 0.3786
11 Cl 0.7826 0.2395 0.1227
12 Cl 0.7826 0.7605 0.8773


# ScMn3V

Crystalline ScMn3V at its relaxed geometry (PBE-GGA, Alexandria via LeMat-Bulk).

## Properties
DFT formation energy (meV per atom): 1422
Space group: No. 221

Cell lengths 4.5079, 4.5079, 4.5079 Å; angles 90.00, 90.00, 90.00 degrees
Element x y z (fractional)
1 Sc 0.0000 0.0000 0.0000
2 Mn 0.0000 0.0000 0.5000
3 Mn 0.0000 0.5000 0.0000
4 Mn 0.5000 0.0000 0.0000
5 V 0.5000 0.5000 0.5000


# SrRu2W

Crystalline SrRu2W at its relaxed geometry (PBE-GGA, Alexandria via LeMat-Bulk).

## Properties
DFT formation energy (meV per atom): 752
Space group: No. 71

Cell lengths 5.5062, 5.5062, 5.5062 Å; angles 146.13, 121.28, 69.54 degrees
Element x y z (fractional)
1 Sr 0.0000 0.0000 0.0000
2 Ru 0.2897 0.7897 0.5000
3 Ru 0.7103 0.2103 0.5000
4 W 0.5000 0.5000 0.0000


# Li2IrAu

Crystalline Li2IrAu at its relaxed geometry (PBE-GGA, Alexandria via LeMat-Bulk).

## Properties
DFT formation energy (meV per atom): -143
Space group: No. 139

Cell lengths 4.7606, 4.7606, 4.7606 Å; angles 132.26, 132.26, 69.82 degrees
Element x y z (fractional)
1 Li 0.2500 0.7500 0.5000
2 Li 0.7500 0.2500 0.5000
3 Ir 0.0000 0.0000 0.0000
4 Au 0.5000 0.5000 0.0000


# RbNa2CaAg

Crystalline RbNa2CaAg at its relaxed geometry (PBE-GGA, Alexandria via LeMat-Bulk).

## Properties
DFT formation energy (meV per atom): 61
Space group: No. 123

Cell lengths 6.0412, 6.0412, 5.8947 Å; angles 90.00, 90.00, 90.00 degrees
Element x y z (fractional)
1 Rb 0.0000 0.0000 0.0000
2 Na 0.0000 0.5000 0.5000
3 Na 0.5000 0.0000 0.5000
4 Ca 0.5000 0.5000 0.0000
5 Ag 0.5000 0.5000 0.5000


| no. | uncorrected energy (eV/cell) | DOS(E_F) (states/eV/cell) |
| --- | --- | --- |
| 1 | -17.945 | 4.34 |
| 2 | -17.239 | 5.30 |
| 3 | -34.115 | 4.93 |
| 4 | -38.566 | 9.43 |
| 5 | -13.273 | 4.41 |
| 6 | -22.697 | 3.26 |
| 7 | -15.594 | 1.05 |
| 8 | -38.080 | 0.00 |
| 9 | -35.851 | 5.53 |
| 10 | -30.178 | 3.78 |
| 11 | -16.539 | 1.93 |
| 12 | -8.152 | 3.33 |